La2TcPb | SCAN | single point on PBEsol structure

a b c (Å): 3.505 5.062 6.625
angles (deg): 112.46 105.34 90.00
Atoms (fractional coordinates):
1 La 0.947 0.947 0.893
2 La 0.752 0.252 0.504
3 Pb 0.557 0.557 0.114
4 Tc 0.244 0.744 0.489

Properties
Total magnetization = 0.0 μB/f.u.
Formation energy from the elements = -15.6 kJ/mol of atoms
D(E_F) = 3.78 states/eV/f.u.